(1)
# Ba3Hg PBE-GGA optimized geometry
data_Ba3Hg
_chemical_formula_sum 'Ba6 Hg2'
_symmetry_space_group_name_H-M 'P 1'
_symmetry_Int_Tables_number 1
_cell_length_a 7.171
_cell_length_b 7.171
_cell_length_c 7.171
_cell_angle_alpha 90.00
_cell_angle_beta 90.00
_cell_angle_gamma 90.00
loop_
_symmetry_equiv_pos_as_xyz
'x,y,z'
loop_
_atom_site_label
_atom_site_type_symbol
_atom_site_fract_x
_atom_site_fract_y
_atom_site_fract_z
_atom_site_occupancy
Ba1 Ba 0.750 0.500 0.000 1
Ba2 Ba 0.250 0.500 0.000 1
Ba3 Ba 0.000 0.750 0.500 1
Ba4 Ba 0.000 0.250 0.500 1
Ba5 Ba 0.500 0.000 0.250 1
Ba6 Ba 0.500 0.000 0.750 1
Hg1 Hg 0.000 0.000 0.000 1
Hg2 Hg 0.500 0.500 0.500 1
# Size of the total moment   0.00 μB/cell
# DOS at the Fermi energy   9.922 states/eV per cell
# Symmetry   Pm-3n, No. 223
# E   -1.572 eV per atom
# ΔE to the lowest computed polymorph   207 meV per atom


(2)
# AlSiAs2 PBE-GGA optimized geometry
data_AlSiAs2
_chemical_formula_sum 'Al1 Si1 As2'
_symmetry_space_group_name_H-M 'P 1'
_symmetry_Int_Tables_number 1
_cell_length_a 5.520
_cell_length_b 5.483
_cell_length_c 2.774
_cell_angle_alpha 79.26
_cell_angle_beta 82.40
_cell_angle_gamma 118.03
loop_
_symmetry_equiv_pos_as_xyz
'x,y,z'
loop_
_atom_site_label
_atom_site_type_symbol
_atom_site_fract_x
_atom_site_fract_y
_atom_site_fract_z
_atom_site_occupancy
As1 As 0.000 0.000 0.000 1
As2 As 0.500 0.000 0.500 1
Si1 Si 0.000 0.500 0.500 1
Al1 Al 0.500 0.500 0.000 1
# E_form (uncorrected)   344 meV/atom
# Size of the total moment   0.00 μB/cell
# DOS at the Fermi energy   1.498 states/eV per cell
# Symmetry   C2/m, No. 12
# E   -4.272 eV per atom
# ΔE to the lowest computed polymorph   392 meV per atom


(3)
# Ca2TeAu PBE-GGA optimized geometry
data_Ca2TeAu
_chemical_formula_sum 'Ca2 Te1 Au1'
_symmetry_space_group_name_H-M 'P 1'
_symmetry_Int_Tables_number 1
_cell_length_a 6.719
_cell_length_b 6.719
_cell_length_c 6.719
_cell_angle_alpha 142.17
_cell_angle_beta 142.17
_cell_angle_gamma 54.57
loop_
_symmetry_equiv_pos_as_xyz
'x,y,z'
loop_
_atom_site_label
_atom_site_type_symbol
_atom_site_fract_x
_atom_site_fract_y
_atom_site_fract_z
_atom_site_occupancy
Ca1 Ca 0.000 0.000 0.000 1
Ca2 Ca 0.250 0.750 0.500 1
Te1 Te 0.500 0.500 0.000 1
Au1 Au 0.750 0.250 0.500 1
# E_form (uncorrected)   -902 meV/atom
# Size of the total moment   0.00 μB/cell
# DOS at the Fermi energy   2.056 states/eV per cell
# Symmetry   I-4m2, No. 119
# E   -3.508 eV per atom
# ΔE to the lowest computed polymorph   251 meV per atom


(4)
# Ba2CuSnS5 PBE-GGA optimized geometry
data_Ba2CuSnS5
_chemical_formula_sum 'Ba4 Cu2 Sn2 S10'
_symmetry_space_group_name_H-M 'P 1'
_symmetry_Int_Tables_number 1
_cell_length_a 4.059
_cell_length_b 9.495
_cell_length_c 12.559
_cell_angle_alpha 90.00
_cell_angle_beta 90.00
_cell_angle_gamma 102.34
loop_
_symmetry_equiv_pos_as_xyz
'x,y,z'
loop_
_atom_site_label
_atom_site_type_symbol
_atom_site_fract_x
_atom_site_fract_y
_atom_site_fract_z
_atom_site_occupancy
Ba1 Ba 0.876 0.752 0.818 1
Ba2 Ba 0.118 0.235 0.706 1
Ba3 Ba 0.124 0.248 0.318 1
Ba4 Ba 0.882 0.765 0.206 1
Cu1 Cu 0.570 0.140 0.929 1
Cu2 Cu 0.430 0.860 0.429 1
Sn1 Sn 0.786 0.572 0.524 1
Sn2 Sn 0.214 0.428 0.024 1
S1 S 0.348 0.696 0.013 1
S2 S 0.699 0.398 0.882 1
S3 S 0.500 0.001 0.781 1
S4 S 0.289 0.577 0.662 1
S5 S 0.925 0.849 0.510 1
S6 S 0.652 0.304 0.513 1
S7 S 0.301 0.602 0.382 1
S8 S 0.500 0.999 0.281 1
S9 S 0.711 0.423 0.162 1
S10 S 0.075 0.151 0.010 1
# E_form (uncorrected)   -1068 meV/atom
# Size of the total moment   0.00 μB/cell
# DOS at the Fermi energy   8.898 states/eV per cell
# Symmetry   Cmc2_1, No. 36
# E   -4.688 eV per atom


(5)
# Y3LuS PBE-GGA optimized geometry
data_Y3LuS
_chemical_formula_sum 'Y3 Lu1 S1'
_symmetry_space_group_name_H-M 'P 1'
_symmetry_Int_Tables_number 1
_cell_length_a 5.294
_cell_length_b 5.294
_cell_length_c 5.294
_cell_angle_alpha 90.00
_cell_angle_beta 90.00
_cell_angle_gamma 90.00
loop_
_symmetry_equiv_pos_as_xyz
'x,y,z'
loop_
_atom_site_label
_atom_site_type_symbol
_atom_site_fract_x
_atom_site_fract_y
_atom_site_fract_z
_atom_site_occupancy
Y1 Y 0.000 0.500 0.000 1
Y2 Y 0.000 0.000 0.500 1
Y3 Y 0.500 0.000 0.000 1
S1 S 0.000 0.000 0.000 1
Lu1 Lu 0.500 0.500 0.500 1
# E_form (uncorrected)   -656 meV/atom
# Size of the total moment   0.01 μB/cell
# DOS at the Fermi energy   8.544 states/eV per cell
# Symmetry   Pm-3m, No. 221
# E   -6.265 eV per atom


(6)
# CoSn4Hg PBE-GGA optimized geometry
data_CoSn4Hg
_chemical_formula_sum 'Co2 Sn8 Hg2'
_symmetry_space_group_name_H-M 'P 1'
_symmetry_Int_Tables_number 1
_cell_length_a 5.690
_cell_length_b 10.327
_cell_length_c 7.105
_cell_angle_alpha 124.02
_cell_angle_beta 95.55
_cell_angle_gamma 114.70
loop_
_symmetry_equiv_pos_as_xyz
'x,y,z'
loop_
_atom_site_label
_atom_site_type_symbol
_atom_site_fract_x
_atom_site_fract_y
_atom_site_fract_z
_atom_site_occupancy
Co1 Co 0.252 0.002 0.004 1
Co2 Co 0.748 0.998 0.996 1
Sn1 Sn 0.082 0.137 0.816 1
Sn2 Sn 0.728 0.704 0.602 1
Sn3 Sn 0.233 0.678 0.816 1
Sn4 Sn 0.374 0.898 0.602 1
Sn5 Sn 0.626 0.102 0.398 1
Sn6 Sn 0.767 0.322 0.184 1
Sn7 Sn 0.272 0.296 0.398 1
Sn8 Sn 0.918 0.863 0.184 1
Hg1 Hg 0.311 0.561 0.121 1
Hg2 Hg 0.689 0.439 0.879 1
# Size of the total moment   0.44 μB/cell
# DOS at the Fermi energy   7.161 states/eV per cell
# Symmetry   C2/c, No. 15
# E   -3.893 eV per atom


(7)
# AlCuBr2 PBE-GGA optimized geometry
data_AlCuBr2
_chemical_formula_sum 'Al1 Cu1 Br2'
_symmetry_space_group_name_H-M 'P 1'
_symmetry_Int_Tables_number 1
_cell_length_a 6.392
_cell_length_b 6.392
_cell_length_c 3.445
_cell_angle_alpha 57.15
_cell_angle_beta 57.15
_cell_angle_gamma 72.89
loop_
_symmetry_equiv_pos_as_xyz
'x,y,z'
loop_
_atom_site_label
_atom_site_type_symbol
_atom_site_fract_x
_atom_site_fract_y
_atom_site_fract_z
_atom_site_occupancy
Cu1 Cu 0.500 0.000 0.500 1
Br1 Br 0.000 0.000 0.000 1
Br2 Br 0.500 0.500 0.000 1
Al1 Al 0.000 0.500 0.500 1
# E_form (uncorrected)   29 meV/atom
# Size of the total moment   0.00 μB/cell
# DOS at the Fermi energy   1.279 states/eV per cell
# Symmetry   C2/m, No. 12
# E   -2.767 eV per atom
# ΔE to the lowest computed polymorph   394 meV per atom


(8)
# Sm2YEr PBE-GGA optimized geometry
data_Sm2YEr
_chemical_formula_sum 'Sm4 Y2 Er2'
_symmetry_space_group_name_H-M 'P 1'
_symmetry_Int_Tables_number 1
_cell_length_a 6.209
_cell_length_b 6.198
_cell_length_c 9.477
_cell_angle_alpha 130.90
_cell_angle_beta 71.16
_cell_angle_gamma 99.28
loop_
_symmetry_equiv_pos_as_xyz
'x,y,z'
loop_
_atom_site_label
_atom_site_type_symbol
_atom_site_fract_x
_atom_site_fract_y
_atom_site_fract_z
_atom_site_occupancy
Sm1 Sm 0.702 0.795 0.170 1
Sm2 Sm 0.703 0.295 0.671 1
Sm3 Sm 0.199 0.922 0.545 1
Sm4 Sm 0.200 0.422 0.046 1
Y1 Y 0.202 0.673 0.796 1
Y2 Y 0.700 0.544 0.420 1
Er1 Er 0.203 0.171 0.295 1
Er2 Er 0.699 0.046 0.921 1
# Size of the total moment   0.00 μB/cell
# DOS at the Fermi energy   11.344 states/eV per cell
# Symmetry   P-1, No. 2
# E   -5.098 eV per atom
# ΔE to the lowest computed polymorph   4 meV per atom


(9)
# ZnInIr2 PBE-GGA optimized geometry
data_ZnInIr2
_chemical_formula_sum 'Zn1 In1 Ir2'
_symmetry_space_group_name_H-M 'P 1'
_symmetry_Int_Tables_number 1
_cell_length_a 2.868
_cell_length_b 2.868
_cell_length_c 9.519
_cell_angle_alpha 90.00
_cell_angle_beta 90.00
_cell_angle_gamma 121.25
loop_
_symmetry_equiv_pos_as_xyz
'x,y,z'
loop_
_atom_site_label
_atom_site_type_symbol
_atom_site_fract_x
_atom_site_fract_y
_atom_site_fract_z
_atom_site_occupancy
In1 In 0.500 0.500 0.757 1
Ir1 Ir 0.000 0.000 0.013 1
Ir2 Ir 0.500 0.500 0.251 1
Zn1 Zn 0.000 0.000 0.478 1
# Size of the total moment   0.00 μB/cell
# DOS at the Fermi energy   2.903 states/eV per cell
# Symmetry   Cmm2, No. 35
# E   -5.125 eV per atom


(10)
# GdGe6 PBE-GGA optimized geometry
data_GdGe6
_chemical_formula_sum 'Gd1 Ge6'
_symmetry_space_group_name_H-M 'P 1'
_symmetry_Int_Tables_number 1
_cell_length_a 6.121
_cell_length_b 6.121
_cell_length_c 6.121
_cell_angle_alpha 109.47
_cell_angle_beta 109.47
_cell_angle_gamma 109.47
loop_
_symmetry_equiv_pos_as_xyz
'x,y,z'
loop_
_atom_site_label
_atom_site_type_symbol
_atom_site_fract_x
_atom_site_fract_y
_atom_site_fract_z
_atom_site_occupancy
Gd1 Gd 0.000 0.000 0.000 1
Ge1 Ge 0.250 0.750 0.500 1
Ge2 Ge 0.500 0.750 0.250 1
Ge3 Ge 0.250 0.500 0.750 1
Ge4 Ge 0.750 0.250 0.500 1
Ge5 Ge 0.500 0.250 0.750 1
Ge6 Ge 0.750 0.500 0.250 1
# Size of the total moment   7.27 μB/cell
# DOS at the Fermi energy   9.567 states/eV per cell
# Symmetry   Im-3m, No. 229
# E   -5.766 eV per atom


(11)
# TlSi2GeTe6 PBE-GGA optimized geometry
data_TlSi2GeTe6
_chemical_formula_sum 'Tl2 Si4 Ge2 Te12'
_symmetry_space_group_name_H-M 'P 1'
_symmetry_Int_Tables_number 1
_cell_length_a 7.783
_cell_length_b 9.662
_cell_length_c 9.662
_cell_angle_alpha 80.33
_cell_angle_beta 75.41
_cell_angle_gamma 75.41
loop_
_symmetry_equiv_pos_as_xyz
'x,y,z'
loop_
_atom_site_label
_atom_site_type_symbol
_atom_site_fract_x
_atom_site_fract_y
_atom_site_fract_z
_atom_site_occupancy
Tl1 Tl 0.250 0.811 0.189 1
Tl2 Tl 0.750 0.189 0.811 1
Si1 Si 0.295 0.801 0.635 1
Si2 Si 0.205 0.365 0.199 1
Si3 Si 0.705 0.199 0.365 1
Si4 Si 0.795 0.635 0.801 1
Ge1 Ge 0.250 0.232 0.768 1
Ge2 Ge 0.750 0.768 0.232 1
Te1 Te 0.151 0.964 0.834 1
Te2 Te 0.349 0.166 0.036 1
Te3 Te 0.849 0.036 0.166 1
Te4 Te 0.651 0.834 0.964 1
Te5 Te 0.395 0.949 0.397 1
Te6 Te 0.105 0.603 0.051 1
Te7 Te 0.605 0.051 0.603 1
Te8 Te 0.895 0.397 0.949 1
Te9 Te 0.057 0.684 0.583 1
Te10 Te 0.443 0.417 0.316 1
Te11 Te 0.943 0.316 0.417 1
Te12 Te 0.557 0.583 0.684 1
# E_form (uncorrected)   -10 meV/atom
# Size of the total moment   0.00 μB/cell
# DOS at the Fermi energy   0.712 states/eV per cell
# Symmetry   C2/c, No. 15
# E   -3.678 eV per atom


(12)
# LiTbNdPb PBE-GGA optimized geometry
data_LiTbNdPb
_chemical_formula_sum 'Li1 Tb1 Nd1 Pb1'
_symmetry_space_group_name_H-M 'P 1'
_symmetry_Int_Tables_number 1
_cell_length_a 5.378
_cell_length_b 5.378
_cell_length_c 5.378
_cell_angle_alpha 60.00
_cell_angle_beta 60.00
_cell_angle_gamma 60.00
loop_
_symmetry_equiv_pos_as_xyz
'x,y,z'
loop_
_atom_site_label
_atom_site_type_symbol
_atom_site_fract_x
_atom_site_fract_y
_atom_site_fract_z
_atom_site_occupancy
Pb1 Pb 0.500 0.500 0.500 1
Nd1 Nd 0.250 0.250 0.250 1
Tb1 Tb 0.750 0.750 0.750 1
Li1 Li 0.000 0.000 0.000 1
# Size of the total moment   0.00 μB/cell
# DOS at the Fermi energy   3.253 states/eV per cell
# Symmetry   F-43m, No. 216
# E   -4.057 eV per atom


Please write out number 6 again, unchanged.
# CoSn4Hg PBE-GGA optimized geometry
data_CoSn4Hg
_chemical_formula_sum 'Co2 Sn8 Hg2'
_symmetry_space_group_name_H-M 'P 1'
_symmetry_Int_Tables_number 1
_cell_length_a 5.690
_cell_length_b 10.327
_cell_length_c 7.105
_cell_angle_alpha 124.02
_cell_angle_beta 95.55
_cell_angle_gamma 114.70
loop_
_symmetry_equiv_pos_as_xyz
'x,y,z'
loop_
_atom_site_label
_atom_site_type_symbol
_atom_site_fract_x
_atom_site_fract_y
_atom_site_fract_z
_atom_site_occupancy
Co1 Co 0.252 0.002 0.004 1
Co2 Co 0.748 0.998 0.996 1
Sn1 Sn 0.082 0.137 0.816 1
Sn2 Sn 0.728 0.704 0.602 1
Sn3 Sn 0.233 0.678 0.816 1
Sn4 Sn 0.374 0.898 0.602 1
Sn5 Sn 0.626 0.102 0.398 1
Sn6 Sn 0.767 0.322 0.184 1
Sn7 Sn 0.272 0.296 0.398 1
Sn8 Sn 0.918 0.863 0.184 1
Hg1 Hg 0.311 0.561 0.121 1
Hg2 Hg 0.689 0.439 0.879 1
# Size of the total moment   0.44 μB/cell
# DOS at the Fermi energy   7.161 states/eV per cell
# Symmetry   C2/c, No. 15
# E   -3.893 eV per atom


> size of the total moment of number 1 (Ba3Hg)?

0.00 μB/cell


> DOS at the Fermi energy of number 12 (LiTbNdPb)?

3.253 states/eV per cell


> The highest DOS at the Fermi energy belongs to which entry?

Sm2YEr